! TbPrTmLu | the Alexandria database | GGA-PBE | optimized geometry; values from VASP
&SYSTEM
  ibrav = 0, nat = 4, ntyp = 4
/
ATOMIC_SPECIES
Tb 158.93 Tb.upf
Pr 140.91 Pr.upf
Tm 168.93 Tm.upf
Lu 174.97 Lu.upf
CELL_PARAMETERS angstrom
0.0000 4.0064 4.0064
4.0064 0.0000 4.0064
4.0064 4.0064 0.0000
ATOMIC_POSITIONS angstrom
Tb 0.0000 0.0000 0.0000
Pr 4.0064 4.0064 4.0064
Tm 2.0032 2.0032 2.0032
Lu 6.0096 6.0096 6.0096
! * density: 8.31 g/cm³
! * calculated volume: 128.6 Å³/cell
! * final energy: -4.50 eV per atom
! * energy of formation: 0.10 eV/atom

***

! FeCo2Si | the Alexandria database | GGA-PBE | optimized geometry; values from VASP
&SYSTEM
  ibrav = 0, nat = 4, ntyp = 3
/
ATOMIC_SPECIES
Fe 55.84 Fe.upf
Co 58.93 Co.upf
Si 28.09 Si.upf
CELL_PARAMETERS angstrom
2.7102 0.0000 0.0000
0.0000 2.7102 0.0000
0.0000 0.0000 5.9923
ATOMIC_POSITIONS angstrom
Fe 0.0000 0.0000 0.0000
Co 1.3551 1.3551 1.6295
Co 1.3551 1.3551 4.3628
Si 0.0000 0.0000 2.9961
! * density: 7.61 g/cm³
! * calculated volume: 44.0 Å³/cell
! * final energy: -7.32 eV per atom
! * formation energy from raw total energies: -0.292 eV/atom

***

! Ho6CuHg5 | the Alexandria database | GGA-PBE | optimized geometry; values from VASP
&SYSTEM
  ibrav = 0, nat = 12, ntyp = 3
/
ATOMIC_SPECIES
Ho 164.93 Ho.upf
Cu 63.55 Cu.upf
Hg 200.59 Hg.upf
CELL_PARAMETERS angstrom
2.5885 -7.7817 0.0000
2.5885 7.7817 0.0000
0.0000 0.0000 7.3845
ATOMIC_POSITIONS angstrom
Ho 0.0000 0.0000 1.7676
Ho 0.0000 0.0000 5.6169
Ho 2.5885 2.5226 1.8073
Ho 2.5885 2.5226 5.5772
Ho 2.5885 -2.5226 1.8073
Ho 2.5885 -2.5226 5.5772
Cu 2.5885 0.0000 0.0000
Hg 2.5885 5.1795 0.0000
Hg 2.5885 5.1727 3.6922
Hg 2.5885 0.0000 3.6922
Hg 2.5885 -5.1727 3.6922
Hg 2.5885 -5.1795 0.0000
! * density: 11.48 g/cm³
! * calculated volume: 297.5 Å³/cell
! * final energy: -3.19 eV per atom
! * energy of formation: -0.43 eV/atom

***

! Na2HF4 | the Alexandria database | GGA-PBE | optimized geometry; values from VASP
&SYSTEM
  ibrav = 0, nat = 7, ntyp = 3
/
ATOMIC_SPECIES
Na 22.99 Na.upf
H 1.01 H.upf
F 19.00 F.upf
CELL_PARAMETERS angstrom
-1.6120 1.6120 7.0236
1.6120 -1.6120 7.0236
1.6120 1.6120 -7.0236
ATOMIC_POSITIONS angstrom
Na 0.0000 0.0000 2.1320
Na 0.0000 0.0000 11.9152
H 0.0000 0.0000 7.0236
F 1.6120 0.0000 0.0000
F 0.0000 0.0000 4.5258
F 0.0000 1.6120 0.0000
F 0.0000 0.0000 9.5214
! * density: 2.80 g/cm³
! * calculated volume: 73.0 Å³/cell
! * final energy: -3.58 eV per atom
! * ΔE to the lowest computed polymorph: 395.2 meV/atom

***

! Dy3ScIn | the Alexandria database | GGA-PBE | optimized geometry; values from VASP
&SYSTEM
  ibrav = 0, nat = 10, ntyp = 3
/
ATOMIC_SPECIES
Dy 162.50 Dy.upf
Sc 44.96 Sc.upf
In 114.82 In.upf
CELL_PARAMETERS angstrom
8.2017 -2.5725 0.0000
8.2017 2.5725 0.0000
-0.1781 0.0000 6.6945
ATOMIC_POSITIONS angstrom
Dy 0.0691 0.0000 1.7177
Dy 3.1903 0.0000 4.9167
Dy 6.4048 0.0000 0.0741
Dy 9.8207 0.0000 6.6204
Dy 13.0351 0.0000 1.7778
Dy 16.1564 0.0000 4.9768
Sc 6.3749 0.0000 3.3526
Sc 9.8505 0.0000 3.3419
In 3.2069 0.0000 1.6510
In 13.0185 0.0000 5.0435
! * density: 7.61 g/cm³
! * calculated volume: 282.5 Å³/cell
! * final energy: -4.74 eV per atom
! * ΔE to the lowest computed polymorph: 11.5 meV/atom
! * energy of formation: -0.17 eV/atom

***

! TlIr2Os | the Alexandria database | GGA-PBE | optimized geometry; values from VASP
&SYSTEM
  ibrav = 0, nat = 4, ntyp = 3
/
ATOMIC_SPECIES
Tl 204.38 Tl.upf
Ir 192.22 Ir.upf
Os 190.23 Os.upf
CELL_PARAMETERS angstrom
-2.0211 2.0211 3.9479
2.0211 -2.0211 3.9479
2.0211 2.0211 -3.9479
ATOMIC_POSITIONS angstrom
Tl 0.0000 0.0000 0.0000
Ir 2.0211 0.0000 1.9740
Ir 0.0000 2.0211 1.9740
Os 0.0000 0.0000 3.9479
! * density: 20.06 g/cm³
! * calculated volume: 64.5 Å³/cell
! * final energy: -7.21 eV per atom
! * ΔE to the lowest computed polymorph: 249.2 meV/atom
! * energy of formation: 0.62 eV/atom

***

! In2CoBiTe | the Alexandria database | GGA-PBE | optimized geometry; values from VASP
&SYSTEM
  ibrav = 0, nat = 5, ntyp = 4
/
ATOMIC_SPECIES
In 114.82 In.upf
Co 58.93 Co.upf
Bi 208.98 Bi.upf
Te 127.60 Te.upf
CELL_PARAMETERS angstrom
5.0827 0.0000 0.0000
0.0000 5.0827 0.0000
0.0000 0.0000 5.0353
ATOMIC_POSITIONS angstrom
In 0.0000 2.5414 0.0000
In 2.5414 0.0000 0.0000
Co 0.0000 0.0000 0.0000
Bi 0.0000 0.0000 2.5177
Te 2.5414 2.5414 2.5177
! * density: 7.98 g/cm³
! * calculated volume: 130.1 Å³/cell
! * final energy: -3.92 eV per atom
! * formation energy from raw total energies: 0.004 eV/atom

***

! NaSrAcPt | the Alexandria database | GGA-PBE | optimized geometry; values from VASP
&SYSTEM
  ibrav = 0, nat = 4, ntyp = 4
/
ATOMIC_SPECIES
Na 22.99 Na.upf
Sr 87.62 Sr.upf
Ac 227.00 Ac.upf
Pt 195.08 Pt.upf
CELL_PARAMETERS angstrom
0.0000 3.9015 3.9015
3.9015 0.0000 3.9015
3.9015 3.9015 0.0000
ATOMIC_POSITIONS angstrom
Na 0.0000 0.0000 0.0000
Sr 1.9507 1.9507 1.9507
Ac 5.8522 5.8522 5.8522
Pt 3.9015 3.9015 3.9015
! * density: 7.45 g/cm³
! * calculated volume: 118.8 Å³/cell
! * final energy: -3.59 eV per atom
! * ΔE to the lowest computed polymorph: 22.9 meV/atom
! * energy of formation: -0.30 eV/atom